A plane-wave DFT calculation with PBE-GGA was carried out for MnHg2Cl after structural relaxation.

E   -11.12 eV per cell
Space-group type   Pmmm (47)
D(E_F)   0.525 states/eV per atom
Crystal system   orthorhombic
Polymorph energy (0 for the lowest one)   28.8 kJ per mole of atoms
Uncorrected formation energy   2.892 kcal/mol of atoms

```
data_MnHg2Cl
_space_group_name_H-M_alt 'P 1'
_space_group_IT_number 1
_space_group_name_Hall 'P 1'
_cell_length_a 3.428
_cell_length_b 4.769
_cell_length_c 5.640
_cell_angle_alpha 90.00
_cell_angle_beta 90.00
_cell_angle_gamma 90.00
loop_
_atom_site_label
_atom_site_fract_x
_atom_site_fract_y
_atom_site_fract_z
Mn1 0.000 0.000 0.000
Hg1 0.000 0.500 0.500
Hg2 0.500 0.000 0.500
Cl1 0.500 0.500 0.000
```

=====

A plane-wave DFT calculation with PBE-GGA was carried out for Mg4Si3 after structural relaxation.

E   -45.02 eV per cell
Space-group type   Cm (8)
D(E_F)   0.180 states/eV per atom
Crystal system   monoclinic
Polymorph energy (0 for the lowest one)   5.0 kJ per mole of atoms
Uncorrected formation energy   0.445 kcal/mol of atoms

```
data_Mg4Si3
_space_group_name_H-M_alt 'P 1'
_space_group_IT_number 1
_space_group_name_Hall 'P 1'
_cell_length_a 8.115
_cell_length_b 8.115
_cell_length_c 5.092
_cell_angle_alpha 100.96
_cell_angle_beta 100.96
_cell_angle_gamma 118.52
loop_
_atom_site_label
_atom_site_fract_x
_atom_site_fract_y
_atom_site_fract_z
Mg1 0.000 0.000 0.000
Mg2 0.010 0.641 0.771
Mg3 0.231 0.980 0.507
Mg4 0.457 0.736 0.112
Mg5 0.501 0.501 0.531
Mg6 0.641 0.010 0.771
Mg7 0.736 0.457 0.112
Mg8 0.980 0.231 0.507
Si1 0.095 0.392 0.097
Si2 0.278 0.673 0.534
Si3 0.328 0.328 0.909
Si4 0.392 0.095 0.097
Si5 0.673 0.278 0.534
Si6 0.826 0.826 0.427
```

=====

A plane-wave DFT calculation with PBE-GGA was carried out for BeTl2F after structural relaxation.

E   -11.10 eV per cell
Space-group type   Fm-3m (225)
D(E_F)   0.528 states/eV per atom
Crystal system   cubic
Polymorph energy (0 for the lowest one)   6.7 kJ per mole of atoms
Uncorrected formation energy   -4.452 kcal/mol of atoms

```
data_BeTl2F
_space_group_name_H-M_alt 'P 1'
_space_group_IT_number 1
_space_group_name_Hall 'P 1'
_cell_length_a 4.802
_cell_length_b 4.802
_cell_length_c 4.802
_cell_angle_alpha 60.00
_cell_angle_beta 60.00
_cell_angle_gamma 60.00
loop_
_atom_site_label
_atom_site_fract_x
_atom_site_fract_y
_atom_site_fract_z
Be1 0.000 0.000 0.000
Tl1 0.250 0.250 0.250
Tl2 0.750 0.750 0.750
F1 0.500 0.500 0.500
```